Y2SnTe (PBE, optimized geometry); total DFT energy (no corrections) = -5.55 eV/atom; energy above the lowest structure with this stoichiometry = 54.34 kJ/mol of atoms; SG = I-42d, No. 122; formation energy (no corrections) = -0.53 eV/atom
1.0
-3.388 3.388 7.305
3.388 -3.388 7.305
3.388 3.388 -7.305
Y Sn Te
4 2 2
direct
0.112 0.625 0.987 Y
0.375 0.362 0.487 Y
0.638 0.125 0.013 Y
0.875 0.888 0.513 Y
0.000 0.000 0.000 Sn
0.750 0.250 0.500 Sn
0.250 0.750 0.500 Te
0.500 0.500 0.000 Te

Ac7Ag2Pb2 (PBE, optimized geometry); total DFT energy (no corrections) = -3.88 eV/atom; formation energy from the elements = -0.072 eV per atom; SG = Cmmm, No. 65
1.0
4.514 -6.173 0.000
4.514 6.173 0.000
0.000 0.000 7.839
Ac Ag Pb
7 2 2
direct
0.000 0.000 0.000 Ac
0.000 0.500 0.273 Ac
0.000 0.500 0.727 Ac
0.500 0.000 0.273 Ac
0.500 0.000 0.727 Ac
0.500 0.500 0.244 Ac
0.500 0.500 0.756 Ac
0.282 0.718 0.000 Ag
0.718 0.282 0.000 Ag
0.176 0.176 0.500 Pb
0.824 0.824 0.500 Pb

ScAsSe2 (PBE, optimized geometry); total DFT energy (no corrections) = -5.09 eV/atom; SG = Pmmm, No. 47; formation energy (no corrections) = -0.60 eV/atom
1.0
3.782 0.000 0.000
0.000 3.834 0.000
0.000 0.000 5.955
Sc As Se
1 1 2
direct
0.000 0.000 0.000 Sc
0.000 0.500 0.500 As
0.500 0.000 0.500 Se
0.500 0.500 0.000 Se

ScCd4Ag4 (PBE, optimized geometry); total DFT energy (no corrections) = -2.47 eV/atom; formation energy from the elements = -0.088 eV per atom; SG = I4/mmm, No. 139
1.0
-4.542 4.542 2.164
4.542 -4.542 2.164
4.542 4.542 -2.164
Sc Cd Ag
1 4 4
direct
0.000 0.000 0.000 Sc
0.330 0.330 0.661 Cd
0.330 0.670 0.000 Cd
0.670 0.330 0.000 Cd
0.670 0.670 0.339 Cd
0.000 0.335 0.335 Ag
0.000 0.665 0.665 Ag
0.335 0.000 0.335 Ag
0.665 0.000 0.665 Ag

OsAuCl2 (PBE, optimized geometry); total DFT energy (no corrections) = -3.91 eV/atom; energy above the lowest structure with this stoichiometry = 40.27 kJ/mol of atoms; SG = R-3m, No. 166; formation energy (no corrections) = 0.64 eV/atom
1.0
1.523 0.879 10.486
-1.523 0.879 10.486
0.000 -1.758 10.486
Os Au Cl
1 1 2
direct
0.000 0.000 0.000 Os
0.500 0.500 0.500 Au
0.390 0.390 0.390 Cl
0.610 0.610 0.610 Cl

Cu5Ni3Pt3 (PBE, optimized geometry); total DFT energy (no corrections) = -4.86 eV/atom; formation energy from the elements = 0.230 eV per atom; SG = P-62m, No. 189
1.0
8.326 0.000 0.000
-4.163 7.211 0.000
0.000 0.000 2.602
Cu Ni Pt
5 3 3
direct
0.000 0.670 0.000 Cu
0.330 0.330 0.000 Cu
0.333 0.667 0.000 Cu
0.667 0.333 0.000 Cu
0.670 0.000 0.000 Cu
0.000 0.159 0.000 Ni
0.159 0.000 0.000 Ni
0.841 0.841 0.000 Ni
0.000 0.410 0.500 Pt
0.410 0.000 0.500 Pt
0.590 0.590 0.500 Pt

TcGe2SbCl (PBE, optimized geometry); total DFT energy (no corrections) = -4.70 eV/atom; SG = P4/mmm, No. 123; formation energy (no corrections) = 0.41 eV/atom
1.0
5.009 0.000 0.000
0.000 5.009 0.000
0.000 0.000 4.601
Tc Ge Sb Cl
1 2 1 1
direct
0.000 0.000 0.000 Tc
0.000 0.500 0.000 Ge
0.500 0.000 0.000 Ge
0.500 0.500 0.500 Sb
0.000 0.000 0.500 Cl

LuCd4Bi (PBE, optimized geometry); total DFT energy (no corrections) = -2.05 eV/atom; formation energy from the elements = -0.035 eV per atom; SG = F-43m, No. 216
1.0
0.000 4.212 4.212
4.212 0.000 4.212
4.212 4.212 0.000
Lu Cd Bi
1 4 1
direct
0.000 0.000 0.000 Lu
0.124 0.625 0.625 Cd
0.625 0.124 0.625 Cd
0.625 0.625 0.124 Cd
0.625 0.625 0.625 Cd
0.250 0.250 0.250 Bi

Mg2Mo3WS8 (PBE, optimized geometry); total DFT energy (no corrections) = -6.49 eV/atom; SG = R3m, No. 160; formation energy (no corrections) = -0.66 eV/atom
1.0
3.732 2.155 5.691
-3.732 2.155 5.691
0.000 -4.310 5.691
Mg Mo W S
2 3 1 8
direct
0.000 0.000 0.000 Mg
0.241 0.241 0.241 Mg
0.117 0.625 0.625 Mo
0.625 0.117 0.625 Mo
0.625 0.625 0.117 Mo
0.659 0.659 0.659 W
0.384 0.384 0.384 S
0.393 0.885 0.885 S
0.406 0.406 0.833 S
0.406 0.833 0.406 S
0.833 0.406 0.406 S
0.865 0.865 0.865 S
0.885 0.393 0.885 S
0.885 0.885 0.393 S

UNi2Pd (PBE, optimized geometry); total DFT energy (no corrections) = -7.19 eV/atom; formation energy from the elements = -0.183 eV per atom; SG = P4/mmm, No. 123
1.0
4.080 0.000 0.000
0.000 4.080 0.000
0.000 0.000 3.748
U Ni Pd
1 2 1
direct
0.000 0.000 0.000 U
0.000 0.500 0.500 Ni
0.500 0.000 0.500 Ni
0.500 0.500 0.000 Pd

NbCr4Tc (PBE, optimized geometry); total DFT energy (no corrections) = -9.79 eV/atom; formation energy from the elements = 0.029 eV per atom; SG = F-43m, No. 216
1.0
0.000 3.420 3.420
3.420 0.000 3.420
3.420 3.420 0.000
Nb Cr Tc
1 4 1
direct
0.000 0.000 0.000 Nb
0.124 0.625 0.625 Cr
0.625 0.124 0.625 Cr
0.625 0.625 0.124 Cr
0.625 0.625 0.625 Cr
0.250 0.250 0.250 Tc

Ce2YGa2Cu2 (PBE, optimized geometry); total DFT energy (no corrections) = -5.07 eV/atom; formation energy from the elements = -0.420 eV per atom; SG = R-3m, No. 166
1.0
2.148 1.240 8.866
-2.148 1.240 8.866
0.000 -2.481 8.866
Ce Y Ga Cu
2 1 2 2
direct
0.140 0.140 0.140 Ce
0.860 0.860 0.860 Ce
0.000 0.000 0.000 Y
0.263 0.263 0.263 Ga
0.737 0.737 0.737 Ga
0.404 0.404 0.404 Cu
0.596 0.596 0.596 Cu

Cr2CuOs (PBE, optimized geometry); total DFT energy (no corrections) = -8.39 eV/atom; formation energy from the elements = 0.250 eV per atom; SG = Imm2, No. 44
1.0
-1.454 2.091 4.149
1.454 -2.091 4.149
1.454 2.091 -4.149
Cr Cu Os
2 1 1
direct
0.000 0.000 0.000 Cr
0.782 0.282 0.500 Cr
0.259 0.759 0.500 Cu
0.534 0.534 0.000 Os

InPt5Rh2 (PBE, optimized geometry); total DFT energy (no corrections) = -5.98 eV/atom; formation energy from the elements = -0.026 eV per atom; SG = C2/c, No. 15
1.0
8.880 -3.419 0.000
8.880 3.419 0.000
-2.261 0.000 8.609
In Pt Rh
4 20 8
direct
0.094 0.156 0.173 In
0.156 0.094 0.673 In
0.844 0.906 0.327 In
0.906 0.844 0.827 In
0.031 0.884 0.603 Pt
0.116 0.969 0.897 Pt
0.125 0.427 0.766 Pt
0.135 0.524 0.088 Pt
0.223 0.506 0.425 Pt
0.311 0.648 0.074 Pt
0.352 0.689 0.426 Pt
0.427 0.125 0.266 Pt
0.476 0.865 0.412 Pt
0.494 0.777 0.075 Pt
0.506 0.223 0.925 Pt
0.524 0.135 0.588 Pt
0.573 0.875 0.734 Pt
0.648 0.311 0.574 Pt
0.689 0.352 0.926 Pt
0.777 0.494 0.575 Pt
0.865 0.476 0.912 Pt
0.875 0.573 0.234 Pt
0.884 0.031 0.103 Pt
0.969 0.116 0.397 Pt
0.142 0.294 0.461 Rh
0.294 0.142 0.961 Rh
0.327 0.524 0.746 Rh
0.476 0.673 0.754 Rh
0.524 0.327 0.246 Rh
0.673 0.476 0.254 Rh
0.706 0.858 0.039 Rh
0.858 0.706 0.539 Rh

YReHg2 (PBE, optimized geometry); total DFT energy (no corrections) = -4.49 eV/atom; energy above the lowest structure with this stoichiometry = 9.91 kJ/mol of atoms; formation energy from the elements = 0.387 eV per atom; SG = Imm2, No. 44
1.0
-2.135 2.142 4.586
2.135 -2.142 4.586
2.135 2.142 -4.586
Y Re Hg
1 1 2
direct
0.000 0.000 0.000 Y
0.750 0.250 0.500 Re
0.250 0.750 0.500 Hg
0.500 0.500 0.000 Hg

Ce4SeI5 (PBE, optimized geometry); total DFT energy (no corrections) = -4.79 eV/atom; SG = C2/m, No. 12; formation energy (no corrections) = -1.29 eV/atom
1.0
9.621 -2.125 0.000
9.621 2.125 0.000
-1.964 0.000 8.832
Ce Se I
4 1 5
direct
0.002 0.002 0.284 Ce
0.347 0.347 0.429 Ce
0.653 0.653 0.571 Ce
0.998 0.998 0.716 Ce
0.500 0.500 0.500 Se
0.167 0.167 0.840 I
0.172 0.172 0.312 I
0.500 0.500 0.000 I
0.828 0.828 0.688 I
0.833 0.833 0.160 I

AcTlN (PBE, optimized geometry); total DFT energy (no corrections) = -5.50 eV/atom; energy above the lowest structure with this stoichiometry = 0.00 kJ/mol of atoms; SG = Cmcm, No. 63; formation energy (no corrections) = -0.56 eV/atom
1.0
2.078 -7.742 0.000
2.078 7.742 0.000
0.000 0.000 4.983
Ac Tl N
2 2 2
direct
0.184 0.816 0.750 Ac
0.816 0.184 0.250 Ac
0.438 0.562 0.750 Tl
0.562 0.438 0.250 Tl
0.228 0.772 0.250 N
0.772 0.228 0.750 N

CaRe2Pt (PBE, optimized geometry); total DFT energy (no corrections) = -7.78 eV/atom; energy above the lowest structure with this stoichiometry = 34.98 kJ/mol of atoms; formation energy from the elements = 0.452 eV per atom; SG = I4/mmm, No. 139
1.0
-1.924 1.924 4.651
1.924 -1.924 4.651
1.924 1.924 -4.651
Ca Re Pt
1 2 1
direct
0.000 0.000 0.000 Ca
0.250 0.750 0.500 Re
0.750 0.250 0.500 Re
0.500 0.500 0.000 Pt

Hf4MnIr (PBE, optimized geometry); total DFT energy (no corrections) = -9.87 eV/atom; energy above the lowest structure with this stoichiometry = 8.07 kJ/mol of atoms; formation energy from the elements = -0.232 eV per atom; SG = C2/m, No. 12
1.0
3.147 -3.147 0.000
3.147 3.147 0.000
-0.007 0.000 6.324
Hf Mn Ir
4 1 1
direct
0.000 0.500 0.239 Hf
0.000 0.500 0.761 Hf
0.500 0.000 0.239 Hf
0.500 0.000 0.761 Hf
0.000 0.000 0.000 Mn
0.500 0.500 0.500 Ir

CsTbTlSe3 (PBE, optimized geometry); total DFT energy (no corrections) = -4.24 eV/atom; SG = P2_1/m, No. 11; formation energy (no corrections) = -1.19 eV/atom
1.0
9.360 0.000 0.000
0.000 4.228 0.000
-3.825 0.000 10.877
Cs Tb Tl Se
2 2 2 6
direct
0.227 0.250 0.265 Cs
0.773 0.750 0.735 Cs
0.355 0.750 0.857 Tb
0.645 0.250 0.143 Tb
0.131 0.250 0.580 Tl
0.869 0.750 0.420 Tl
0.126 0.250 0.818 Se
0.335 0.750 0.594 Se
0.427 0.750 0.117 Se
0.573 0.250 0.883 Se
0.665 0.250 0.406 Se
0.874 0.750 0.182 Se

Which spin magnetization belongs to each record? In order, 0.000 0.000 0.000 0.000 1.187 1.104 1.830 0.000 5.944 2.092 0.000 0.470 0.197 0.000 0.855 4.846 0.000 0.000 0.000 0.000 μB per formula unit.
Which D(E_F) belongs to each record? In order, 0.00 15.30 2.26 4.82 3.56 11.83 4.31 4.66 2.29 7.25 11.17 8.60 4.41 11.61 2.49 27.47 1.82 3.84 6.53 2.93 states/eV/f.u..